(1)
The following is a PBE calculation of an optimized crystal structure of Er2PuMgTl4, from Alexandria via LeMat-Bulk.

Summary:
Formation energy from the elements, kJ/mol of atoms: -15.3
E_tot, eV per atom: -4.47
Total magnetic moment, Bohr magnetons per cell: 18.46
Density of states at the Fermi level, states/eV/f.u.: 13.2

Unit cell a=5.2719 b=5.2719 c=26.6201 alpha=90.00 beta=90.00 gamma=120.00
Space group R-3m (No. 166, hexagonal axes)
One atom of each set of equivalent atoms:
Er (0.0000, 0.0000, 0.2464) [6 per cell]
Pu (0.0000, 0.0000, 0.0000) [3 per cell]
Mg (0.0000, 0.0000, 0.5000) [3 per cell]
Tl (0.0000, 0.0000, 0.1259) [6 per cell]
Tl (0.0000, 0.0000, 0.3769) [6 per cell]

=====

(2)
The following is a PBE calculation of an optimized crystal structure of YErPuMg, from Alexandria via LeMat-Bulk.

Summary:
Formation energy from the elements, kJ/mol of atoms: 14.4
E_tot, eV per atom: -6.59
Total magnetic moment, Bohr magnetons per cell: 25.17
Density of states at the Fermi level, states/eV/f.u.: 12.4

Unit cell a=7.701 b=7.701 c=7.701 alpha=90.00 beta=90.00 gamma=90.00
Space group F-43m (No. 216)
One atom of each set of equivalent atoms:
Y (0.000, 0.000, 0.000) [4 per cell]
Er (0.000, 0.000, 0.500) [4 per cell]
Pu (0.250, 0.250, 0.250) [4 per cell]
Mg (0.250, 0.250, 0.750) [4 per cell]

=====

(3)
The following is a PBE calculation of an optimized crystal structure of RbErMgS3, from Alexandria via LeMat-Bulk.

Summary:
E_tot, eV per atom: -4.92
Total magnetic moment, Bohr magnetons per cell: 0.00
Formation energy from raw total energies, eV/atom: -1.67
Density of states at the Fermi level, states/eV/f.u.: 0.0

Unit cell a=8.964 b=4.099 c=9.894 alpha=90.00 beta=109.15 gamma=90.00
Space group P2_1/m (No. 11)
One atom of each set of equivalent atoms:
Rb (0.212, 0.250, 0.229) [2 per cell]
Er (0.334, 0.750, 0.867) [2 per cell]
Mg (0.085, 0.250, 0.611) [2 per cell]
S (0.126, 0.250, 0.863) [2 per cell]
S (0.197, 0.750, 0.549) [2 per cell]
S (0.471, 0.750, 0.149) [2 per cell]

=====

(4)
The following is a PBE calculation of an optimized crystal structure of RbErMgTe3, from Alexandria via LeMat-Bulk.

Summary:
E_tot, eV per atom: -3.96
Total magnetic moment, Bohr magnetons per cell: 0.00
Formation energy from raw total energies, eV/atom: -1.20
Density of states at the Fermi level, states/eV/f.u.: 0.0

Unit cell a=9.907 b=4.515 c=10.898 alpha=90.00 beta=109.75 gamma=90.00
Space group P2_1/m (No. 11)
One atom of each set of equivalent atoms:
Rb (0.213, 0.250, 0.238) [2 per cell]
Er (0.331, 0.750, 0.867) [2 per cell]
Mg (0.085, 0.250, 0.610) [2 per cell]
Te (0.117, 0.250, 0.870) [2 per cell]
Te (0.216, 0.750, 0.544) [2 per cell]
Te (0.469, 0.750, 0.159) [2 per cell]

=====

(5)
The following is a PBE calculation of an optimized crystal structure of Rb3Er2MgTe6, from Alexandria via LeMat-Bulk.

Summary:
E_tot, eV per atom: -3.84
Total magnetic moment, Bohr magnetons per cell: 0.00
Formation energy from raw total energies, eV/atom: -1.14
Density of states at the Fermi level, states/eV/f.u.: 6.9

Unit cell a=7.669 b=13.286 c=9.027 alpha=90.00 beta=106.48 gamma=90.00
Space group C2/m (No. 12)
One atom of each set of equivalent atoms:
Rb (0.000, 0.000, 0.000) [2 per cell]
Rb (0.000, 0.332, 0.000) [4 per cell]
Er (0.000, 0.166, 0.500) [4 per cell]
Mg (0.000, 0.500, 0.500) [2 per cell]
Te (0.230, 0.335, 0.696) [8 per cell]
Te (0.235, 0.000, 0.696) [4 per cell]

=====

(6)
The following is a PBE calculation of an optimized crystal structure of RbEr2MgTe4, from Alexandria via LeMat-Bulk.

Summary:
E_tot, eV per atom: -4.17
Total magnetic moment, Bohr magnetons per cell: 0.00
Formation energy from raw total energies, eV/atom: -1.14
Density of states at the Fermi level, states/eV/f.u.: 3.6

Unit cell a=4.464 b=15.359 c=15.729 alpha=90.00 beta=90.00 gamma=90.00
Space group Cmcm (No. 63)
One atom of each set of equivalent atoms:
Rb (0.000, 0.120, 0.250) [4 per cell]
Er (0.000, 0.376, 0.055) [8 per cell]
Mg (0.000, 0.163, 0.750) [4 per cell]
Te (0.000, 0.000, 0.000) [4 per cell]
Te (0.000, 0.261, 0.605) [8 per cell]
Te (0.000, 0.441, 0.250) [4 per cell]

=====

- Number 4 is which compound?
  RbErMgTe3

=====

Copy entry 3 word for word.
The following is a PBE calculation of an optimized crystal structure of RbErMgS3, from Alexandria via LeMat-Bulk.

Summary:
E_tot, eV per atom: -4.92
Total magnetic moment, Bohr magnetons per cell: 0.00
Formation energy from raw total energies, eV/atom: -1.67
Density of states at the Fermi level, states/eV/f.u.: 0.0

Unit cell a=8.964 b=4.099 c=9.894 alpha=90.00 beta=109.15 gamma=90.00
Space group P2_1/m (No. 11)
One atom of each set of equivalent atoms:
Rb (0.212, 0.250, 0.229) [2 per cell]
Er (0.334, 0.750, 0.867) [2 per cell]
Mg (0.085, 0.250, 0.611) [2 per cell]
S (0.126, 0.250, 0.863) [2 per cell]
S (0.197, 0.750, 0.549) [2 per cell]
S (0.471, 0.750, 0.149) [2 per cell]

=====

Please write out number 5 again, unchanged.
The following is a PBE calculation of an optimized crystal structure of Rb3Er2MgTe6, from Alexandria via LeMat-Bulk.

Summary:
E_tot, eV per atom: -3.84
Total magnetic moment, Bohr magnetons per cell: 0.00
Formation energy from raw total energies, eV/atom: -1.14
Density of states at the Fermi level, states/eV/f.u.: 6.9

Unit cell a=7.669 b=13.286 c=9.027 alpha=90.00 beta=106.48 gamma=90.00
Space group C2/m (No. 12)
One atom of each set of equivalent atoms:
Rb (0.000, 0.000, 0.000) [2 per cell]
Rb (0.000, 0.332, 0.000) [4 per cell]
Er (0.000, 0.166, 0.500) [4 per cell]
Mg (0.000, 0.500, 0.500) [2 per cell]
Te (0.230, 0.335, 0.696) [8 per cell]
Te (0.235, 0.000, 0.696) [4 per cell]

=====

Please write out number 4 again, unchanged.
The following is a PBE calculation of an optimized crystal structure of RbErMgTe3, from Alexandria via LeMat-Bulk.

Summary:
E_tot, eV per atom: -3.96
Total magnetic moment, Bohr magnetons per cell: 0.00
Formation energy from raw total energies, eV/atom: -1.20
Density of states at the Fermi level, states/eV/f.u.: 0.0

Unit cell a=9.907 b=4.515 c=10.898 alpha=90.00 beta=109.75 gamma=90.00
Space group P2_1/m (No. 11)
One atom of each set of equivalent atoms:
Rb (0.213, 0.250, 0.238) [2 per cell]
Er (0.331, 0.750, 0.867) [2 per cell]
Mg (0.085, 0.250, 0.610) [2 per cell]
Te (0.117, 0.250, 0.870) [2 per cell]
Te (0.216, 0.750, 0.544) [2 per cell]
Te (0.469, 0.750, 0.159) [2 per cell]